# 1
{
  "formula": "BaNpTl2S4",
  "functional": "GGA-PBE",
  "state": "relaxed",
  "lattice": [[7.595, 0.000, 0.000], [0.000, 4.250, 0.000], [-2.518, 0.000, 7.386]],
  "species": ["Ba", "Np", "Tl", "Tl", "S", "S", "S", "S"],
  "fractional_positions": [[0.000, 0.000, 0.000], [0.500, 0.500, 0.000], [0.000, 0.500, 0.500], [0.500, 0.000, 0.500], [0.285, 0.500, 0.208], [0.298, 0.000, 0.800], [0.702, 0.000, 0.200], [0.715, 0.500, 0.792]],
  "formation_energy_uncorrected_ev_per_atom": -1.12
}

=====

# 2
{
  "formula": "Pr5AgS4",
  "functional": "GGA-PBE",
  "state": "relaxed",
  "lattice": [[6.941, -2.065, 0.000], [6.941, 2.065, 0.000], [-5.128, 0.000, 8.871]],
  "species": ["Pr", "Pr", "Pr", "Pr", "Pr", "Ag", "S", "S", "S", "S"],
  "fractional_positions": [[0.000, 0.000, 0.000], [0.206, 0.206, 0.812], [0.390, 0.390, 0.608], [0.610, 0.610, 0.392], [0.794, 0.794, 0.188], [0.000, 0.000, 0.500], [0.204, 0.204, 0.296], [0.403, 0.403, 0.102], [0.597, 0.597, 0.898], [0.796, 0.796, 0.704]],
  "formation_energy_uncorrected_ev_per_atom": -1.63
}

=====

# 3
{
  "formula": "KLi2Y",
  "functional": "GGA-PBE",
  "state": "relaxed",
  "lattice": [[-1.808, 3.285, 5.792], [1.808, -3.285, 5.792], [1.808, 3.285, -5.792]],
  "species": ["K", "Li", "Li", "Y"],
  "fractional_positions": [[0.000, 0.000, 0.000], [0.261, 0.761, 0.500], [0.739, 0.239, 0.500], [0.500, 0.500, 0.000]],
  "delta_e_f_kcal_per_mol_atoms": 10.405
}

=====

# 4
{
  "formula": "Mg2AlMo3S8",
  "functional": "GGA-PBE",
  "state": "relaxed",
  "lattice": [[3.708, 2.141, 5.997], [-3.708, 2.141, 5.997], [0.000, -4.282, 5.997]],
  "species": ["Mg", "Mg", "Al", "Mo", "Mo", "Mo", "S", "S", "S", "S", "S", "S", "S", "S"],
  "fractional_positions": [[0.123, 0.123, 0.123], [0.877, 0.877, 0.877], [0.500, 0.500, 0.500], [0.000, 0.500, 0.500], [0.500, 0.000, 0.500], [0.500, 0.500, 0.000], [0.260, 0.260, 0.260], [0.266, 0.266, 0.715], [0.266, 0.715, 0.266], [0.285, 0.734, 0.734], [0.715, 0.266, 0.266], [0.734, 0.285, 0.734], [0.734, 0.734, 0.285], [0.740, 0.740, 0.740]],
  "formation_energy_uncorrected_ev_per_atom": -0.74
}

=====

# 5
{
  "formula": "ErThSc3",
  "functional": "GGA-PBE",
  "state": "relaxed",
  "lattice": [[5.949, 0.000, 0.000], [0.000, 5.395, 0.000], [-2.896, 0.000, 8.531]],
  "species": ["Er", "Er", "Th", "Th", "Sc", "Sc", "Sc", "Sc", "Sc", "Sc"],
  "fractional_positions": [[0.036, 0.250, 0.395], [0.964, 0.750, 0.605], [0.432, 0.250, 0.197], [0.568, 0.750, 0.803], [0.159, 0.750, 0.006], [0.234, 0.250, 0.803], [0.375, 0.750, 0.401], [0.625, 0.250, 0.599], [0.766, 0.750, 0.197], [0.841, 0.250, 0.994]],
  "delta_e_f_kcal_per_mol_atoms": 0.951
}

=====

# 6
{
  "formula": "LaTmSb2O8",
  "functional": "GGA-PBE",
  "state": "relaxed",
  "lattice": [[-2.667, 2.667, 5.715], [2.667, -2.667, 5.715], [2.667, 2.667, -5.715]],
  "species": ["La", "Tm", "Sb", "Sb", "O", "O", "O", "O", "O", "O", "O", "O"],
  "fractional_positions": [[0.000, 0.000, 0.000], [0.250, 0.750, 0.500], [0.500, 0.500, 0.000], [0.750, 0.250, 0.500], [0.021, 0.083, 0.437], [0.242, 0.662, 0.087], [0.338, 0.424, 0.580], [0.416, 0.979, 0.062], [0.576, 0.155, 0.913], [0.646, 0.584, 0.563], [0.845, 0.758, 0.420], [0.917, 0.354, 0.938]],
  "formation_energy_uncorrected_ev_per_atom": -2.32
}